(1)
## Li2MgCoH6 (PBE-GGA)

Data for crystalline Li2MgCoH6 at its relaxed geometry.

Lattice parameters (Å, degrees): 4.881 4.601 4.601 120.00 90.00 90.00
Fractional coordinates of all 10 atoms:
H  0.813  0.162  0.324
H  0.813  0.162  0.838
H  0.187  0.838  0.676
Li  0.097  0.333  0.667
Co  0.000  0.000  0.000
Li  0.903  0.667  0.333
H  0.187  0.838  0.162
Mg  0.500  0.000  0.000
H  0.813  0.676  0.838
H  0.187  0.324  0.162

**V**: 8.950 A^3/atom
**Uncorrected energy**: -35.2 eV per formula unit



(2)
## ZrSnRhAu (PBE-GGA)

Data for crystalline ZrSnRhAu at its relaxed geometry.

Lattice parameters (Å, degrees): 4.736 4.736 4.736 60.00 60.00 60.00
Fractional coordinates of all 4 atoms:
Au  0.000  0.000  0.000
Rh  0.500  0.500  0.500
Zr  0.750  0.750  0.750
Sn  0.250  0.250  0.250

**V**: 18.779 A^3/atom
**E_form**: -502 meV/atom



(3)
## NaLi2ZnAg (PBE-GGA)

Data for crystalline NaLi2ZnAg at its relaxed geometry.

Lattice parameters (Å, degrees): 4.980 4.980 5.022 90.00 90.00 90.00
Fractional coordinates of all 5 atoms:
Li  0.500  0.000  0.000
Ag  0.000  0.000  0.000
Na  0.500  0.500  0.500
Li  0.000  0.500  0.000
Zn  0.000  0.000  0.500

**V**: 24.906 A^3/atom
**E_form**: 66 meV/atom



(4)
## LaNdSn (PBE-GGA)

Data for crystalline LaNdSn at its relaxed geometry.

Lattice parameters (Å, degrees): 5.363 5.363 5.363 60.00 60.00 60.00
Fractional coordinates of all 3 atoms:
Nd  0.000  0.000  0.000
Sn  0.250  0.250  0.250
La  0.500  0.500  0.500

**V**: 36.357 A^3/atom
**E_form**: -458 meV/atom
**Energy above the most stable polymorph in this dataset**: 0.157 eV per atom



(5)
## Li2Cd4In (PBE-GGA)

Data for crystalline Li2Cd4In at its relaxed geometry.

Lattice parameters (Å, degrees): 10.421 5.808 5.846 119.79 90.00 90.00
Fractional coordinates of all 14 atoms:
Cd  0.250  0.000  0.500
Li  0.500  0.784  0.569
Li  0.000  0.716  0.431
Cd  0.334  0.000  0.000
In  0.000  0.000  0.000
Cd  0.750  0.000  0.500
Li  0.000  0.284  0.569
Cd  0.250  0.500  0.500
In  0.500  0.500  0.000
Cd  0.166  0.500  0.000
Cd  0.750  0.500  0.500
Cd  0.666  0.000  0.000
Cd  0.834  0.500  0.000
Li  0.500  0.216  0.431

**V**: 21.934 A^3/atom
**E_form**: -68 meV/atom
**Energy above the most stable polymorph in this dataset**: 0.000 eV per atom



(6)
## Ba2NaSr2 (PBE-GGA)

Data for crystalline Ba2NaSr2 at its relaxed geometry.

Lattice parameters (Å, degrees): 9.752 9.752 6.178 90.00 90.00 90.00
Fractional coordinates of all 10 atoms:
Na  0.000  0.000  0.000
Na  0.500  0.500  0.000
Ba  0.852  0.648  0.000
Sr  0.342  0.158  0.500
Sr  0.158  0.658  0.500
Ba  0.148  0.352  0.000
Ba  0.352  0.852  0.000
Ba  0.648  0.148  0.000
Sr  0.658  0.842  0.500
Sr  0.842  0.342  0.500

**V**: 58.753 A^3/atom
**E_form**: 165 meV/atom
**Energy above the most stable polymorph in this dataset**: 0.154 eV per atom



(7)
## YSc5Zn4 (PBE-GGA)

Data for crystalline YSc5Zn4 at its relaxed geometry.

Lattice parameters (Å, degrees): 3.359 3.359 18.404 90.00 90.00 90.00
Fractional coordinates of all 10 atoms:
Sc  0.500  0.500  0.500
Y  0.000  0.000  0.000
Sc  0.500  0.500  0.682
Zn  0.000  0.000  0.592
Sc  0.500  0.500  0.137
Zn  0.000  0.000  0.773
Zn  0.000  0.000  0.408
Sc  0.500  0.500  0.863
Zn  0.000  0.000  0.227
Sc  0.500  0.500  0.318

**V**: 20.763 A^3/atom
**E_form**: -282 meV/atom



(8)
## Ca2TlSb2 (PBE-GGA)

Data for crystalline Ca2TlSb2 at its relaxed geometry.

Lattice parameters (Å, degrees): 9.333 9.333 3.555 90.00 90.00 90.00
Fractional coordinates of all 10 atoms:
Ca  0.360  0.140  0.500
Tl  0.500  0.500  0.000
Sb  0.158  0.342  0.000
Sb  0.658  0.158  0.000
Sb  0.842  0.658  0.000
Tl  0.000  0.000  0.000
Ca  0.140  0.640  0.500
Ca  0.640  0.860  0.500
Ca  0.860  0.360  0.500
Sb  0.342  0.842  0.000

**Formation energy from raw total energies**: -0.65 eV per atom
**V**: 30.968 A^3/atom
**Energy above the most stable polymorph in this dataset**: 0.000 eV per atom



(9)
## Ce3Ru5N12 (PBE-GGA)

Data for crystalline Ce3Ru5N12 at its relaxed geometry.

Lattice parameters (Å, degrees): 11.006 11.006 11.006 109.47 109.47 109.47
Fractional coordinates of all 80 atoms:
N  0.200  0.520  0.621
N  0.020  0.398  0.819
N  0.102  0.181  0.480
Ru  0.000  0.000  0.000
Ru  0.000  0.500  0.500
N  0.980  0.602  0.181
Ru  0.875  0.250  0.625
N  0.121  0.700  0.520
Ce  0.750  0.875  0.625
N  0.421  0.121  0.602
N  0.181  0.079  0.700
N  0.980  0.379  0.300
Ce  0.125  0.875  0.750
N  0.520  0.319  0.898
N  0.681  0.480  0.602
N  0.921  0.819  0.800
Ce  0.125  0.250  0.875
Ce  0.375  0.625  0.250
N  0.319  0.520  0.398
N  0.398  0.020  0.319
N  0.200  0.681  0.079
N  0.602  0.980  0.681
Ru  0.875  0.625  0.750
N  0.898  0.819  0.520
N  0.421  0.300  0.319
N  0.079  0.898  0.379
N  0.819  0.921  0.300
N  0.181  0.102  0.980
N  0.020  0.621  0.700
Ru  0.250  0.875  0.125
Ru  0.750  0.125  0.875
N  0.819  0.898  0.020
N  0.898  0.079  0.879
N  0.102  0.921  0.121
N  0.921  0.102  0.621
N  0.621  0.020  0.200
Ce  0.250  0.125  0.375
N  0.700  0.121  0.020
N  0.079  0.181  0.200
Ce  0.875  0.750  0.125
Ru  0.125  0.750  0.375
N  0.579  0.700  0.681
N  0.300  0.879  0.980
Ru  0.500  0.000  0.000
Ce  0.625  0.375  0.750
Ce  0.250  0.625  0.875
N  0.700  0.579  0.181
N  0.121  0.421  0.102
Ru  0.375  0.125  0.750
N  0.879  0.300  0.480
Ru  0.000  0.500  0.000
N  0.579  0.879  0.398
Ru  0.750  0.625  0.375
N  0.800  0.480  0.379
N  0.879  0.579  0.898
N  0.681  0.200  0.579
Ce  0.375  0.750  0.625
Ce  0.750  0.375  0.125
Ru  0.000  0.000  0.500
N  0.621  0.602  0.921
Ru  0.250  0.375  0.625
N  0.800  0.319  0.921
Ce  0.625  0.250  0.375
N  0.319  0.800  0.421
Ru  0.500  0.500  0.500
Ru  0.500  0.500  0.000
N  0.379  0.398  0.079
Ru  0.375  0.250  0.125
N  0.480  0.800  0.879
N  0.480  0.681  0.102
Ru  0.625  0.875  0.250
Ru  0.625  0.750  0.875
N  0.398  0.379  0.579
N  0.300  0.421  0.819
N  0.602  0.621  0.421
Ru  0.500  0.000  0.500
Ce  0.875  0.125  0.250
Ru  0.125  0.375  0.250
N  0.520  0.200  0.121
N  0.379  0.980  0.800

**Formation energy from raw total energies**: -0.24 eV per atom
**V**: 12.829 A^3/atom



(10)
## LaZnRe3 (PBE-GGA)

Data for crystalline LaZnRe3 at its relaxed geometry.

Lattice parameters (Å, degrees): 4.671 4.671 4.671 90.00 90.00 90.00
Last column: magnetic moment on the atom in μB.
Fractional coordinates of all 5 atoms:
Zn  0.000  0.000  0.000  -0.01
Re  0.000  0.500  0.000  0.37
Re  0.500  0.000  0.000  0.22
Re  0.000  0.000  0.500  0.34
La  0.500  0.500  0.500  0.05

**V**: 20.379 A^3/atom
**E_form**: 1545 meV/atom
**Energy above the most stable polymorph in this dataset**: 0.000 eV per atom



(11)
## LiCrFe2 (PBE-GGA)

Data for crystalline LiCrFe2 at its relaxed geometry.

Lattice parameters (Å, degrees): 2.520 2.520 7.628 90.00 90.00 90.00
Last column: magnetic moment on the atom in μB.
Fractional coordinates of all 4 atoms:
Fe  0.000  0.000  0.521  1.97
Fe  0.000  0.000  0.979  1.97
Li  0.500  0.500  0.250  -0.04
Cr  0.500  0.500  0.750  -0.89

**V**: 12.110 A^3/atom
**E_form**: 309 meV/atom
**Energy above the most stable polymorph in this dataset**: 0.118 eV per atom



(12)
## TbSm2ErS6 (PBE-GGA)

Data for crystalline TbSm2ErS6 at its relaxed geometry.

Lattice parameters (Å, degrees): 6.998 6.998 7.398 61.77 61.77 60.00
Fractional coordinates of all 10 atoms:
S  0.205  0.926  0.256
Sm  0.520  0.520  0.441
S  0.926  0.612  0.257
S  0.612  0.205  0.256
S  0.431  0.707  0.755
Tb  0.316  0.316  0.053
Er  0.817  0.817  0.549
S  0.107  0.431  0.755
Sm  0.020  0.020  0.939
S  0.707  0.107  0.755

**Formation energy from raw total energies**: -2.05 eV per atom
**V**: 26.280 A^3/atom



(13)
## La8Nd2Mg3 (PBE-GGA)

Data for crystalline La8Nd2Mg3 at its relaxed geometry.

Lattice parameters (Å, degrees): 5.068 10.527 11.112 132.12 90.00 90.00
Fractional coordinates of all 13 atoms:
Nd  0.500  0.075  0.407
La  0.500  0.518  0.675
Nd  0.500  0.925  0.593
La  0.000  0.749  0.660
Mg  0.000  0.175  0.996
Mg  0.500  0.000  0.000
La  0.500  0.676  0.058
La  0.500  0.324  0.942
La  0.000  0.251  0.340
La  0.500  0.482  0.325
La  0.000  0.300  0.729
Mg  0.000  0.825  0.004
La  0.000  0.700  0.271

**V**: 33.831 A^3/atom
**E_form**: 94 meV/atom